Record 1
First-principles (PBE) data for crystalline PmAg2AsO4 at its relaxed geometry, as listed in Alexandria via LeMat-Bulk.

Results
For the final energy, the calculation gives -5.55 eV/atom. The value obtained for the total magnetization is 0.0 μB/f.u. Its space group is I-4.

Unit cell a=6.084 b=6.084 c=6.084 alpha=121.65 beta=121.65 gamma=87.16
Fractional coordinates of all 8 atoms:
Pm (0.000, 0.000, 0.000)
Ag (0.250, 0.750, 0.500)
Ag (0.500, 0.500, 0.000)
As (0.750, 0.250, 0.500)
O (0.434, 0.257, 0.418)
O (0.743, 0.161, 0.177)
O (0.839, 0.015, 0.582)
O (0.985, 0.566, 0.823)



Record 2
First-principles (PBE) data for crystalline PmAgAs2O6 at its relaxed geometry, as listed in Alexandria via LeMat-Bulk.

Results
For the final energy, the calculation gives -6.10 eV/atom. The value obtained for the total magnetization is 2.0 μB/f.u. Its space group is R-3.

Unit cell a=6.680 b=6.680 c=6.680 alpha=49.71 beta=49.71 gamma=49.71
Fractional coordinates of all 10 atoms:
Pm (0.000, 0.000, 0.000)
Ag (0.500, 0.500, 0.500)
As (0.220, 0.220, 0.220)
As (0.780, 0.780, 0.780)
O (0.027, 0.765, 0.444)
O (0.235, 0.556, 0.973)
O (0.444, 0.027, 0.765)
O (0.556, 0.973, 0.235)
O (0.765, 0.444, 0.027)
O (0.973, 0.235, 0.556)



> The highest final energy belongs to which entry?

PmAg2AsO4



> The highest final energy belongs to which entry?

PmAg2AsO4



> The highest final energy belongs to which entry?

PmAg2AsO4